Material: ZrZn2Rh
Method: DFT, GGA-PBE
State: optimized geometry

Cell lengths 9.362, 3.029, 4.811 Å; angles 90.00, 105.77, 90.00 degrees
Space group Cm (No. 8)
Asymmetric unit:
Zr (0.000, 0.000, 0.000) x2
Zn (0.020, 0.500, 0.506) x2
Zn (0.269, 0.500, 0.323) x2
Rh (0.246, 0.000, 0.807) x2

Computed properties:
D(E_F)	0.480	states/eV/atom
crystal system	monoclinic
raw total energy	-4.95	eV/atom
formation enthalpy at 0 K	-0.339	eV/atom